Record 1
A plane-wave DFT calculation with PBE was carried out for crystalline Sr2GaSb4Pd3 at its relaxed geometry.

Unit cell a=4.711 b=4.711 c=11.065 alpha=90.00 beta=90.00 gamma=90.00
Fractional coordinates of all 10 atoms:
Sr  0.500  0.000  0.252
Sr  0.000  0.500  0.748
Ga  0.500  0.500  0.500
Sb  0.500  0.500  0.000
Sb  0.000  0.000  0.000
Sb  0.500  0.000  0.634
Sb  0.000  0.500  0.366
Pd  0.000  0.000  0.500
Pd  0.500  0.000  0.873
Pd  0.000  0.500  0.127

Final energy (eV/atom): -4.527
Formation energy without anion corrections (eV/atom): -0.681



Record 2
A plane-wave DFT calculation with PBE was carried out for crystalline Yb2SmS4 at its relaxed geometry.

Unit cell a=7.288 b=7.288 c=7.288 alpha=109.19 beta=109.19 gamma=110.03
Last column: magnetic moment on the atom in μB.
Fractional coordinates of all 14 atoms:
Yb  0.001  0.375  0.126  0.38
Yb  0.625  0.751  0.626  0.38
Yb  0.249  0.875  0.874  0.38
Yb  0.125  0.999  0.374  0.38
Sm  0.750  0.250  0.500  0.00
Sm  0.500  0.500  0.000  0.00
S  0.018  0.126  0.753  0.04
S  0.735  0.982  0.109  0.04
S  0.877  0.624  0.391  0.04
S  0.373  0.265  0.247  0.04
S  0.874  0.627  0.891  0.04
S  0.232  0.485  0.609  0.04
S  0.515  0.123  0.747  0.04
S  0.376  0.768  0.253  0.04

Final energy (eV/atom): -5.441
Formation energy without anion corrections (eV/atom): -1.973



Record 3
A plane-wave DFT calculation with PBE was carried out for crystalline TaSbS3 at its relaxed geometry.

Unit cell a=4.907 b=4.907 c=4.907 alpha=90.00 beta=90.00 gamma=90.00
Last column: magnetic moment on the atom in μB.
Fractional coordinates of all 5 atoms:
Sb  0.000  0.000  0.000  -0.02
S  0.000  0.500  0.000  -0.13
S  0.000  0.000  0.500  -0.09
S  0.500  0.000  0.000  -0.11
Ta  0.500  0.500  0.500  1.94

Final energy (eV/atom): -4.629
Energy above the lowest structure with this stoichiometry (meV/atom): 1203.1
Formation energy without anion corrections (eV/atom): 1.043



Record 4
A plane-wave DFT calculation with PBE was carried out for crystalline CsNaCdSi2 at its relaxed geometry.

Unit cell a=5.230 b=6.407 c=5.230 alpha=90.00 beta=90.00 gamma=90.00
Fractional coordinates of all 5 atoms:
Cs  0.000  0.500  0.000
Na  0.500  0.500  0.500
Si  0.000  0.000  0.500
Si  0.500  0.000  0.000
Cd  0.000  0.000  0.000

Final energy (eV/atom): -2.047
Energy above the lowest structure with this stoichiometry (meV/atom): 0.0
Formation energy without anion corrections (eV/atom): 0.739



Record 5
A plane-wave DFT calculation with PBE was carried out for crystalline Pm4Y7Ho at its relaxed geometry.

Unit cell a=5.907 b=11.940 c=6.693 alpha=83.76 beta=63.81 gamma=75.68
Fractional coordinates of all 12 atoms:
Pm  0.642  0.224  0.492
Pm  0.358  0.776  0.508
Pm  0.706  0.706  0.882
Pm  0.294  0.294  0.118
Y  0.792  0.918  0.498
Y  0.208  0.082  0.502
Y  0.034  0.638  0.293
Y  0.966  0.362  0.707
Y  0.354  0.514  0.778
Y  0.500  0.000  0.000
Y  0.646  0.486  0.222
Ho  0.000  0.000  0.000

Final energy (eV/atom): -5.448
Energy above the lowest structure with this stoichiometry (meV/atom): 203.6
Energy of formation from the pure elements (eV per formula unit): 3.46



Record 6
A plane-wave DFT calculation with PBE was carried out for crystalline Ce2Al5Pd at its relaxed geometry.

Unit cell a=6.263 b=6.263 c=6.263 alpha=89.34 beta=120.38 gamma=120.38
Last column: magnetic moment on the atom in μB.
Fractional coordinates of all 8 atoms:
Ce  0.500  0.247  0.747  0.46
Ce  0.500  0.747  0.247  0.46
Al  0.434  0.711  0.711  0.00
Al  0.000  0.711  0.277  0.00
Al  0.000  0.277  0.711  0.00
Al  0.566  0.277  0.277  0.00
Al  0.000  0.265  0.265  0.00
Pd  0.000  0.987  0.987  0.00

Final energy (eV/atom): -4.870
Energy of formation from the pure elements (eV per formula unit): -3.19



Record 7
A plane-wave DFT calculation with PBE was carried out for crystalline Mg2ZnW at its relaxed geometry.

Unit cell a=5.355 b=5.470 c=2.745 alpha=79.83 beta=81.27 gamma=116.83
Fractional coordinates of all 4 atoms:
Mg  0.000  0.000  0.000
Mg  0.500  0.000  0.500
W  0.000  0.500  0.500
Zn  0.500  0.500  0.000

Final energy (eV/atom): -4.058
Energy of formation from the pure elements (eV per formula unit): 1.18



Record 8
A plane-wave DFT calculation with PBE was carried out for crystalline RbIr at its relaxed geometry.

Unit cell a=2.931 b=6.115 c=18.046 alpha=90.00 beta=90.00 gamma=90.00
Fractional coordinates of all 12 atoms:
Rb  0.000  0.743  0.691
Rb  0.500  0.257  0.809
Rb  0.500  0.257  0.191
Rb  0.000  0.743  0.309
Rb  0.000  0.158  0.000
Rb  0.500  0.842  0.500
Ir  0.000  0.731  0.886
Ir  0.500  0.269  0.614
Ir  0.500  0.269  0.386
Ir  0.000  0.731  0.114
Ir  0.000  0.344  0.500
Ir  0.500  0.656  0.000

Final energy (eV/atom): -4.138
Energy above the lowest structure with this stoichiometry (meV/atom): 399.6
Energy of formation from the pure elements (eV per formula unit): 1.55



Record 9
A plane-wave DFT calculation with PBE was carried out for crystalline RbSn5Pb7 at its relaxed geometry.

Unit cell a=6.399 b=8.731 c=8.731 alpha=81.80 beta=68.50 gamma=68.50
Fractional coordinates of all 13 atoms:
Rb  0.003  0.997  0.997
Sn  0.499  0.997  0.505
Sn  0.999  0.997  0.505
Sn  0.499  0.505  0.997
Sn  0.999  0.505  0.997
Sn  0.722  0.778  0.778
Pb  0.647  0.353  0.353
Pb  0.355  0.645  0.645
Pb  0.999  0.353  0.649
Pb  0.999  0.649  0.353
Pb  0.277  0.223  0.223
Pb  0.500  0.786  0.213
Pb  0.500  0.213  0.786

Final energy (eV/atom): -3.637
Energy of formation from the pure elements (eV per formula unit): -0.34



Record 10
A plane-wave DFT calculation with PBE was carried out for crystalline Mg2SiTc at its relaxed geometry.

Unit cell a=2.755 b=2.755 c=8.714 alpha=90.00 beta=90.00 gamma=90.00
Fractional coordinates of all 4 atoms:
Mg  0.000  0.000  0.994
Mg  0.000  0.000  0.506
Si  0.500  0.500  0.250
Tc  0.500  0.500  0.750

Final energy (eV/atom): -4.520
Formation energy without anion corrections (eV/atom): 0.225



Record 11
A plane-wave DFT calculation with PBE was carried out for crystalline As3P at its relaxed geometry.

Unit cell a=7.446 b=7.446 c=3.645 alpha=90.00 beta=90.00 gamma=120.74
Fractional coordinates of all 8 atoms:
As  0.921  0.079  0.250
As  0.079  0.921  0.750
As  0.401  0.054  0.250
As  0.599  0.946  0.750
As  0.946  0.599  0.250
As  0.054  0.401  0.750
P  0.442  0.558  0.750
P  0.558  0.442  0.250

Final energy (eV/atom): -4.542
Energy above the lowest structure with this stoichiometry (meV/atom): 239.9
Energy of formation from the pure elements (eV per formula unit): 1.19



Record 12
A plane-wave DFT calculation with PBE was carried out for crystalline CrInCo2 at its relaxed geometry.

Unit cell a=5.025 b=5.025 c=5.025 alpha=144.64 beta=129.93 gamma=62.79
Last column: magnetic moment on the atom in μB.
Fractional coordinates of all 4 atoms:
Co  0.984  0.984  0.000  1.41
Co  0.760  0.260  0.500  1.32
Cr  0.515  0.515  0.000  2.59
In  0.241  0.741  0.500  -0.07

Final energy (eV/atom): -6.355
Energy of formation from the pure elements (eV per formula unit): 1.15



Record 13
A plane-wave DFT calculation with PBE was carried out for crystalline ZrNb2IrS at its relaxed geometry.

Unit cell a=4.989 b=4.589 c=4.989 alpha=90.00 beta=90.00 gamma=90.00
Fractional coordinates of all 5 atoms:
Nb  0.000  0.000  0.500
Nb  0.500  0.000  0.000
Ir  0.500  0.500  0.500
S  0.000  0.500  0.000
Zr  0.000  0.000  0.000

Final energy (eV/atom): -6.731
Formation energy without anion corrections (eV/atom): 1.604



Record 14
A plane-wave DFT calculation with PBE was carried out for crystalline Sc2TlCl at its relaxed geometry.

Unit cell a=3.382 b=5.910 c=4.812 alpha=90.00 beta=90.00 gamma=90.00
Fractional coordinates of all 4 atoms:
Cl  0.000  0.500  0.500
Sc  0.000  0.000  0.000
Sc  0.500  0.500  0.000
Tl  0.500  0.000  0.500

Final energy (eV/atom): -4.577
Energy above the lowest structure with this stoichiometry (meV/atom): 332.0
Formation energy without anion corrections (eV/atom): -0.358



Record 15
A plane-wave DFT calculation with PBE was carried out for crystalline Ac2YIn12Rh3 at its relaxed geometry.

Unit cell a=8.733 b=8.733 c=8.733 alpha=66.26 beta=66.26 gamma=66.26
Fractional coordinates of all 18 atoms:
Ac  0.585  0.585  0.585
Ac  0.415  0.415  0.415
Y  0.000  0.000  0.000
In  0.270  0.270  0.869
In  0.839  0.839  0.444
In  0.444  0.839  0.839
In  0.869  0.270  0.270
In  0.839  0.444  0.839
In  0.270  0.869  0.270
In  0.730  0.730  0.131
In  0.161  0.161  0.556
In  0.556  0.161  0.161
In  0.131  0.730  0.730
In  0.161  0.556  0.161
In  0.730  0.131  0.730
Rh  0.500  0.000  0.000
Rh  0.000  0.500  0.000
Rh  0.000  0.000  0.500

Final energy (eV/atom): -3.920
Energy of formation from the pure elements (eV per formula unit): -0.96



Record 16
A plane-wave DFT calculation with PBE was carried out for crystalline Gd2Ni2Sn at its relaxed geometry.

Unit cell a=4.311 b=5.508 c=5.508 alpha=62.07 beta=66.96 gamma=66.96
Last column: magnetic moment on the atom in μB.
Fractional coordinates of all 5 atoms:
Ni  0.500  0.713  0.287  -0.06
Ni  0.500  0.287  0.713  -0.06
Gd  0.797  0.703  0.703  7.04
Gd  0.203  0.297  0.297  7.04
Sn  0.000  0.000  0.000  -0.04

Final energy (eV/atom): -9.324
Energy of formation from the pure elements (eV per formula unit): -2.89



Record 17
A plane-wave DFT calculation with PBE was carried out for crystalline LiYSeS at its relaxed geometry.

Unit cell a=3.995 b=3.995 c=6.749 alpha=72.78 beta=72.78 gamma=60.00
Fractional coordinates of all 4 atoms:
Li  0.249  0.249  0.253
Y  0.754  0.754  0.738
Se  0.998  0.998  0.006
S  0.499  0.499  0.502

Final energy (eV/atom): -5.770
Formation energy without anion corrections (eV/atom): -1.773



Record 18
A plane-wave DFT calculation with PBE was carried out for crystalline Y4Ho4Sc at its relaxed geometry.

Unit cell a=4.958 b=7.874 c=7.874 alpha=84.31 beta=71.65 gamma=71.65
Fractional coordinates of all 9 atoms:
Y  0.665  0.671  0.000
Y  0.335  0.329  0.000
Y  0.665  0.000  0.671
Y  0.335  0.000  0.329
Ho  0.667  0.333  0.333
Ho  0.333  0.667  0.667
Ho  0.000  0.667  0.333
Ho  0.000  0.333  0.667
Sc  0.000  0.000  0.000

Final energy (eV/atom): -5.574
Energy of formation from the pure elements (eV per formula unit): 0.33



Record 19
A plane-wave DFT calculation with PBE was carried out for crystalline AlTcPb2 at its relaxed geometry.

Unit cell a=4.503 b=3.723 c=5.479 alpha=70.23 beta=90.00 gamma=90.00
Fractional coordinates of all 4 atoms:
Pb  0.000  0.969  0.937
Pb  0.500  0.282  0.309
Tc  0.000  0.684  0.507
Al  0.500  0.564  0.747

Final energy (eV/atom): -5.090
Energy of formation from the pure elements (eV per formula unit): 1.17



Record 20
A plane-wave DFT calculation with PBE was carried out for crystalline Ho4InNi at its relaxed geometry.

Unit cell a=9.548 b=9.548 c=9.548 alpha=60.00 beta=60.00 gamma=60.00
Fractional coordinates of all 24 atoms:
Ho  0.402  0.402  0.402
Ho  0.794  0.402  0.402
Ho  0.402  0.794  0.402
Ho  0.402  0.402  0.794
Ho  0.562  0.562  0.938
Ho  0.938  0.938  0.562
Ho  0.562  0.938  0.562
Ho  0.938  0.562  0.938
Ho  0.938  0.562  0.562
Ho  0.562  0.938  0.938
Ho  0.187  0.187  0.813
Ho  0.813  0.813  0.187
Ho  0.187  0.813  0.187
Ho  0.813  0.187  0.813
Ho  0.813  0.187  0.187
Ho  0.187  0.813  0.813
In  0.167  0.167  0.167
In  0.498  0.167  0.167
In  0.167  0.498  0.167
In  0.167  0.167  0.498
Ni  0.607  0.607  0.607
Ni  0.178  0.607  0.607
Ni  0.607  0.178  0.607
Ni  0.607  0.607  0.178

Final energy (eV/atom): -4.842
Energy above the lowest structure with this stoichiometry (meV/atom): 0.0
Energy of formation from the pure elements (eV per formula unit): -2.22